Record 1
Entry from the Alexandria database: ZrCrP after structural relaxation (PBE).

Summary:
total DFT energy (no corrections)	-8.432	eV/atom
Fermi-level density of states	2.15	states/eV/f.u.

```
data_ZrCrP
_cell_length_a 3.548
_cell_length_b 3.580
_cell_length_c 7.878
_cell_angle_alpha 90.00
_cell_angle_beta 90.00
_cell_angle_gamma 90.00
_space_group_name_H-M_alt 'P m m 2'
_space_group_IT_number 25
_space_group_name_Hall 'P 2 -2'
loop_
_atom_site_label
_atom_site_type_symbol
_atom_site_fract_x
_atom_site_fract_y
_atom_site_fract_z
Zr1 Zr 0.000 0.000 0.000
Zr2 Zr 0.500 0.000 0.363
Cr1 Cr 0.000 0.000 0.674
Cr2 Cr 0.500 0.500 0.721
P1 P 0.000 0.500 0.478
P2 P 0.500 0.500 0.097
```

---

Record 2
Entry from the Alexandria database: ZrCrP4 after structural relaxation (PBE).

Summary:
total DFT energy (no corrections)	-6.343	eV/atom
Fermi-level density of states	3.91	states/eV/f.u.

```
data_ZrCrP4
_cell_length_a 7.190
_cell_length_b 7.190
_cell_length_c 7.190
_cell_angle_alpha 90.00
_cell_angle_beta 90.00
_cell_angle_gamma 90.00
_space_group_name_H-M_alt 'F -4 3 m'
_space_group_IT_number 216
_space_group_name_Hall 'F -4 2 3'
loop_
_atom_site_label
_atom_site_type_symbol
_atom_site_fract_x
_atom_site_fract_y
_atom_site_fract_z
Zr1 Zr 0.000 0.000 0.000
Cr1 Cr 0.250 0.250 0.750
P1 P 0.124 0.124 0.376
```

---

Record 3
Entry from the Alexandria database: ZrCrP after structural relaxation (PBE).

Summary:
total DFT energy (no corrections)	-8.606	eV/atom
Fermi-level density of states	1.96	states/eV/f.u.

```
data_ZrCrP
_cell_length_a 9.760
_cell_length_b 3.405
_cell_length_c 6.566
_cell_angle_alpha 90.00
_cell_angle_beta 123.43
_cell_angle_gamma 90.00
_space_group_name_H-M_alt 'C 1 2/m 1'
_space_group_IT_number 12
_space_group_name_Hall '-C 2y'
loop_
_atom_site_label
_atom_site_type_symbol
_atom_site_fract_x
_atom_site_fract_y
_atom_site_fract_z
Zr1 Zr 0.071 0.000 0.322
Cr1 Cr 0.172 0.500 0.066
P1 P 0.160 0.500 0.698
```

---

Record 4
Entry from the Alexandria database: ZrCrP2 after structural relaxation (PBE).

Summary:
total DFT energy (no corrections)	-7.799	eV/atom
Fermi-level density of states	2.08	states/eV/f.u.

```
data_ZrCrP2
_cell_length_a 3.375
_cell_length_b 3.839
_cell_length_c 4.801
_cell_angle_alpha 90.00
_cell_angle_beta 90.00
_cell_angle_gamma 90.00
_space_group_name_H-M_alt 'P m m m'
_space_group_IT_number 47
_space_group_name_Hall '-P 2 2'
loop_
_atom_site_label
_atom_site_type_symbol
_atom_site_fract_x
_atom_site_fract_y
_atom_site_fract_z
Zr1 Zr 0.000 0.000 0.000
Cr1 Cr 0.500 0.000 0.500
P1 P 0.500 0.500 0.242
```

---

Record 5
Entry from the Alexandria database: ZrCrP after structural relaxation (PBE).

Summary:
total DFT energy (no corrections)	-8.424	eV/atom
Fermi-level density of states	2.23	states/eV/f.u.

```
data_ZrCrP
_cell_length_a 5.145
_cell_length_b 3.863
_cell_length_c 5.599
_cell_angle_alpha 90.00
_cell_angle_beta 115.91
_cell_angle_gamma 90.00
_space_group_name_H-M_alt 'P 1 21/m 1'
_space_group_IT_number 11
_space_group_name_Hall '-P 2yb'
loop_
_atom_site_label
_atom_site_type_symbol
_atom_site_fract_x
_atom_site_fract_y
_atom_site_fract_z
Zr1 Zr 0.132 0.250 0.277
Cr1 Cr 0.466 0.250 0.889
P1 P 0.324 0.750 0.635
```

---

Record 6
Entry from the Alexandria database: ZrCrP2 after structural relaxation (PBE).

Summary:
total DFT energy (no corrections)	-7.763	eV/atom
Fermi-level density of states	2.84	states/eV/f.u.

```
data_ZrCrP2
_cell_length_a 3.770
_cell_length_b 5.046
_cell_length_c 6.640
_cell_angle_alpha 90.00
_cell_angle_beta 90.00
_cell_angle_gamma 90.00
_space_group_name_H-M_alt 'I m m m'
_space_group_IT_number 71
_space_group_name_Hall '-I 2 2'
loop_
_atom_site_label
_atom_site_type_symbol
_atom_site_fract_x
_atom_site_fract_y
_atom_site_fract_z
Zr1 Zr 0.000 0.000 0.000
Cr1 Cr 0.000 0.000 0.500
P1 P 0.000 0.500 0.215
```

---

Record 7
Entry from the Alexandria database: ZrCrP after structural relaxation (PBE).

Summary:
total DFT energy (no corrections)	-8.280	eV/atom
Fermi-level density of states	2.44	states/eV/f.u.

```
data_ZrCrP
_cell_length_a 3.107
_cell_length_b 3.107
_cell_length_c 9.417
_cell_angle_alpha 90.00
_cell_angle_beta 90.00
_cell_angle_gamma 90.00
_space_group_name_H-M_alt 'I 4 m m'
_space_group_IT_number 107
_space_group_name_Hall 'I 4 -2'
loop_
_atom_site_label
_atom_site_type_symbol
_atom_site_fract_x
_atom_site_fract_y
_atom_site_fract_z
Zr1 Zr 0.000 0.000 0.000
Cr1 Cr 0.000 0.000 0.297
P1 P 0.000 0.000 0.699
```

---

Record 8
Entry from the Alexandria database: ZrCrP after structural relaxation (PBE).

Summary:
total DFT energy (no corrections)	-8.516	eV/atom
Fermi-level density of states	1.71	states/eV/f.u.

```
data_ZrCrP
_cell_length_a 9.822
_cell_length_b 3.869
_cell_length_c 5.231
_cell_angle_alpha 90.00
_cell_angle_beta 104.40
_cell_angle_gamma 90.00
_space_group_name_H-M_alt 'C 1 m 1'
_space_group_IT_number 8
_space_group_name_Hall 'C -2y'
loop_
_atom_site_label
_atom_site_type_symbol
_atom_site_fract_x
_atom_site_fract_y
_atom_site_fract_z
Zr1 Zr 0.000 0.000 0.000
Zr2 Zr 0.135 0.500 0.562
Cr1 Cr 0.320 0.000 0.208
Cr2 Cr 0.404 0.500 0.435
P1 P 0.194 0.500 0.086
P2 P 0.364 0.000 0.677
```

---

Record 9
Entry from the Alexandria database: ZrCrP after structural relaxation (PBE).

Summary:
total DFT energy (no corrections)	-8.523	eV/atom
Fermi-level density of states	1.62	states/eV/f.u.

```
data_ZrCrP
_cell_length_a 3.503
_cell_length_b 7.052
_cell_length_c 7.555
_cell_angle_alpha 90.00
_cell_angle_beta 90.00
_cell_angle_gamma 90.00
_space_group_name_H-M_alt 'I m m 2'
_space_group_IT_number 44
_space_group_name_Hall 'I 2 -2'
loop_
_atom_site_label
_atom_site_type_symbol
_atom_site_fract_x
_atom_site_fract_y
_atom_site_fract_z
Zr1 Zr 0.000 0.000 0.000
Zr2 Zr 0.000 0.500 0.131
Cr1 Cr 0.000 0.158 0.380
P1 P 0.000 0.273 0.688
```

---

Record 10
Entry from the Alexandria database: ZrCr2P after structural relaxation (PBE).

Summary:
total DFT energy (no corrections)	-8.178	eV/atom
Fermi-level density of states	4.58	states/eV/f.u.

```
data_ZrCr2P
_cell_length_a 5.365
_cell_length_b 8.603
_cell_length_c 2.915
_cell_angle_alpha 90.00
_cell_angle_beta 120.83
_cell_angle_gamma 90.00
_space_group_name_H-M_alt 'C 1 2/m 1'
_space_group_IT_number 12
_space_group_name_Hall '-C 2y'
loop_
_atom_site_label
_atom_site_type_symbol
_atom_site_fract_x
_atom_site_fract_y
_atom_site_fract_z
Zr1 Zr 0.000 0.000 0.000
Cr1 Cr 0.250 0.250 0.500
P1 P 0.000 0.500 0.000
```

---

Record 11
Entry from the Alexandria database: ZrCrP2 after structural relaxation (PBE).

Summary:
total DFT energy (no corrections)	-7.220	eV/atom
Fermi-level density of states	3.55	states/eV/f.u.

```
data_ZrCrP2
_cell_length_a 3.1052
_cell_length_b 3.1052
_cell_length_c 22.6635
_cell_angle_alpha 90.00
_cell_angle_beta 90.00
_cell_angle_gamma 120.00
_space_group_name_H-M_alt 'R 3 m'
_space_group_IT_number 160
_space_group_name_Hall 'R 3 -2"'
loop_
_atom_site_label
_atom_site_type_symbol
_atom_site_fract_x
_atom_site_fract_y
_atom_site_fract_z
Zr1 Zr 0.0000 0.0000 0.0000
Cr1 Cr 0.0000 0.0000 0.2409
P1 P 0.0000 0.0000 0.5083
P2 P 0.0000 0.0000 0.7580
```

---

Record 12
Entry from the Alexandria database: ZrCr2P after structural relaxation (PBE).

Summary:
total DFT energy (no corrections)	-8.212	eV/atom
Fermi-level density of states	3.71	states/eV/f.u.

```
data_ZrCr2P
_cell_length_a 6.080
_cell_length_b 6.080
_cell_length_c 6.080
_cell_angle_alpha 90.00
_cell_angle_beta 90.00
_cell_angle_gamma 90.00
_space_group_name_H-M_alt 'F -4 3 m'
_space_group_IT_number 216
_space_group_name_Hall 'F -4 2 3'
loop_
_atom_site_label
_atom_site_type_symbol
_atom_site_fract_x
_atom_site_fract_y
_atom_site_fract_z
Zr1 Zr 0.000 0.000 0.000
Cr1 Cr 0.000 0.000 0.500
Cr2 Cr 0.250 0.250 0.750
P1 P 0.250 0.250 0.250
```

---

Record 13
Entry from the Alexandria database: ZrCr2P after structural relaxation (PBE).

Summary:
total DFT energy (no corrections)	-8.379	eV/atom
Fermi-level density of states	3.18	states/eV/f.u.

```
data_ZrCr2P
_cell_length_a 3.207
_cell_length_b 4.217
_cell_length_c 8.390
_cell_angle_alpha 90.00
_cell_angle_beta 90.00
_cell_angle_gamma 90.00
_space_group_name_H-M_alt 'I m m 2'
_space_group_IT_number 44
_space_group_name_Hall 'I 2 -2'
loop_
_atom_site_label
_atom_site_type_symbol
_atom_site_fract_x
_atom_site_fract_y
_atom_site_fract_z
Zr1 Zr 0.000 0.000 0.000
Cr1 Cr 0.000 0.000 0.500
Cr2 Cr 0.000 0.500 0.763
P1 P 0.000 0.500 0.229
```